{
  "formula": "RbMg2BeNb",
  "functional": "PBEsol",
  "state": "relaxed",
  "lattice": [[4.7095, 0.0000, 0.0000], [0.0000, 5.6187, 0.0000], [0.0000, 0.0000, 5.6187]],
  "species": ["Mg", "Rb", "Be", "Nb", "Mg"],
  "fractional_positions": [[0.0000, 0.5000, 0.0000], [0.5000, 0.5000, 0.5000], [0.5000, 0.0000, 0.0000], [0.0000, 0.0000, 0.0000], [0.0000, 0.0000, 0.5000]],
  "total_energy_ev_per_atom": -2.78,
  "rho_kg_m3": 2636,
  "vol_a3_per_atom": 29.7,
  "formation_energy_mev_per_atom": 1077
}

{
  "formula": "MgBeNi2",
  "functional": "PBEsol",
  "state": "relaxed",
  "lattice": [[2.7187, 0.0000, 0.0000], [0.0000, 3.9720, -0.1242], [-1.3594, -1.8283, 4.1783]],
  "species": ["Be", "Mg", "Ni", "Ni"],
  "fractional_positions": [[0.4764, 0.4748, 0.9527], [0.2424, 0.7435, 0.4847], [0.0116, 0.0109, 0.0231], [0.7697, 0.2708, 0.5394]],
  "total_energy_ev_per_atom": -4.59,
  "rho_kg_m3": 5623,
  "vol_a3_per_atom": 11.1,
  "formation_energy_mev_per_atom": -78
}

{
  "formula": "MgBeNi2",
  "functional": "PBEsol",
  "state": "relaxed",
  "lattice": [[2.8068, 0.0000, 0.0000], [0.0000, 2.8088, 0.0000], [0.0000, 0.0000, 5.8259]],
  "species": ["Be", "Mg", "Ni", "Ni"],
  "fractional_positions": [[0.0000, 0.0000, 0.4332], [0.5000, 0.5000, 0.7510], [0.0000, 0.0000, 0.0336], [0.5000, 0.5000, 0.2822]],
  "total_energy_ev_per_atom": -4.58,
  "rho_kg_m3": 5449,
  "vol_a3_per_atom": 11.5,
  "formation_energy_mev_per_atom": -74
}

{
  "formula": "MgBe2Ni",
  "functional": "PBEsol",
  "state": "relaxed",
  "lattice": [[-1.3440, -2.1005, -0.1124], [0.5211, 0.4008, 4.5339], [-2.9012, 2.9394, -1.9828]],
  "species": ["Be", "Mg", "Be", "Ni"],
  "fractional_positions": [[0.0000, 0.5000, 0.0000], [0.5000, 0.0000, 0.0000], [0.0000, 0.0000, 0.5000], [0.5000, 0.5000, 0.5000]],
  "total_energy_ev_per_atom": -3.79,
  "rho_kg_m3": 3801,
  "vol_a3_per_atom": 11.0,
  "formation_energy_mev_per_atom": 178
}

{
  "formula": "MgBe4Ni",
  "functional": "PBEsol",
  "state": "relaxed",
  "lattice": [[4.3135, 0.0000, 0.0000], [2.1568, 3.7356, 0.0000], [2.1568, 1.2452, 3.5220]],
  "species": ["Be", "Mg", "Ni", "Be", "Be", "Be"],
  "fractional_positions": [[0.6267, 0.1199, 0.6267], [0.2500, 0.2500, 0.2500], [0.0000, 0.0000, 0.0000], [0.6267, 0.6267, 0.1199], [0.1199, 0.6267, 0.6267], [0.6267, 0.6267, 0.6267]],
  "total_energy_ev_per_atom": -4.15,
  "rho_kg_m3": 3483,
  "vol_a3_per_atom": 9.5,
  "formation_energy_mev_per_atom": -175
}

{
  "formula": "MgBe2Ni",
  "functional": "PBEsol",
  "state": "relaxed",
  "lattice": [[-2.1473, 1.8124, -0.2417], [-0.7939, -1.4235, -3.6189], [-0.9229, -2.8221, 3.4827]],
  "species": ["Be", "Ni", "Be", "Mg"],
  "fractional_positions": [[0.7258, 0.7250, 0.4504], [0.2744, 0.2751, 0.5493], [0.9986, 0.4986, 0.9978], [0.5010, 0.0011, 0.0025]],
  "total_energy_ev_per_atom": -3.93,
  "rho_kg_m3": 3864,
  "vol_a3_per_atom": 10.9,
  "formation_energy_mev_per_atom": 38
}

{
  "formula": "MgBeNi3",
  "functional": "PBEsol",
  "state": "relaxed",
  "lattice": [[-2.1676, 0.1455, -3.5706], [-3.4638, -1.1128, 2.0574], [-0.8791, 4.0261, 0.6977]],
  "species": ["Be", "Ni", "Ni", "Mg", "Ni"],
  "fractional_positions": [[0.5000, 0.5000, 0.5000], [0.0000, 0.0000, 0.5000], [0.0000, 0.5000, 0.0000], [0.0000, 0.0000, 0.0000], [0.5000, 0.0000, 0.0000]],
  "total_energy_ev_per_atom": -3.41,
  "rho_kg_m3": 4762,
  "vol_a3_per_atom": 14.6,
  "formation_energy_mev_per_atom": 1432
}

{
  "formula": "SrMg2BeNi",
  "functional": "PBEsol",
  "state": "relaxed",
  "lattice": [[-1.3115, -2.5561, -3.7026], [-3.3514, -2.0182, 2.5803], [-3.4706, 3.8962, -1.4604]],
  "species": ["Sr", "Mg", "Mg", "Be", "Ni"],
  "fractional_positions": [[0.0000, 0.0000, 0.5000], [0.0000, 0.5000, 0.0000], [0.5000, 0.0000, 0.0000], [0.0000, 0.0000, 0.0000], [0.5000, 0.5000, 0.5000]],
  "total_energy_ev_per_atom": -2.41,
  "rho_kg_m3": 2846,
  "vol_a3_per_atom": 23.8,
  "formation_energy_mev_per_atom": 676
}

{
  "formula": "MgTiBe2O",
  "functional": "PBEsol",
  "state": "relaxed",
  "lattice": [[3.5353, 0.0000, 0.0000], [0.0000, 4.5309, 0.0000], [0.0000, 0.0000, 4.5309]],
  "species": ["Mg", "O", "Be", "Ti", "Be"],
  "fractional_positions": [[0.0000, 0.0000, 0.0000], [0.5000, 0.0000, 0.0000], [0.0000, 0.5000, 0.0000], [0.5000, 0.5000, 0.5000], [0.0000, 0.0000, 0.5000]],
  "total_energy_ev_per_atom": -4.09,
  "rho_kg_m3": 2430,
  "vol_a3_per_atom": 14.5,
  "e_form_raw_ev_per_atom": 0.57
}

{
  "formula": "YMgBeO2",
  "functional": "PBEsol",
  "state": "relaxed",
  "lattice": [[3.8692, 0.0000, 0.0000], [0.0000, 3.8692, 0.0000], [0.0000, 0.0000, 5.3892]],
  "species": ["O", "O", "Y", "Be", "Mg"],
  "fractional_positions": [[0.0000, 0.5000, 0.0000], [0.5000, 0.0000, 0.0000], [0.0000, 0.0000, 0.5000], [0.5000, 0.5000, 0.5000], [0.0000, 0.0000, 0.0000]],
  "total_energy_ev_per_atom": -4.67,
  "rho_kg_m3": 3174,
  "vol_a3_per_atom": 16.1,
  "e_form_raw_ev_per_atom": -0.06
}

{
  "formula": "MgBeOs",
  "functional": "PBEsol",
  "state": "relaxed",
  "lattice": [[-2.3322, -0.5529, -1.2144], [1.7059, -2.0742, -0.0845], [-1.9661, -0.7780, 5.9786]],
  "species": ["Mg", "Os", "Be"],
  "fractional_positions": [[0.3348, 0.3348, 0.6696], [0.6514, 0.6514, 0.3029], [0.0138, 0.0138, 0.0275]],
  "total_energy_ev_per_atom": -5.67,
  "rho_kg_m3": 9013,
  "vol_a3_per_atom": 13.7,
  "formation_energy_mev_per_atom": 309
}

{
  "formula": "MgBe2Os",
  "functional": "PBEsol",
  "state": "relaxed",
  "lattice": [[-0.6119, -0.4356, 2.5226], [-0.9390, -1.9113, -1.5470], [6.6815, -4.0310, 0.9247]],
  "species": ["Be", "Be", "Os", "Mg"],
  "fractional_positions": [[0.5000, 0.5000, 0.7810], [0.0000, 0.0000, 0.9962], [0.5000, 0.5000, 0.2168], [0.0000, 0.0000, 0.5061]],
  "total_energy_ev_per_atom": -5.09,
  "rho_kg_m3": 7604,
  "vol_a3_per_atom": 12.7,
  "formation_energy_mev_per_atom": 395
}

{
  "formula": "MgBeOs2",
  "functional": "PBEsol",
  "state": "relaxed",
  "lattice": [[-1.7924, -3.6798, -0.7749], [-0.1497, -1.4645, -3.8971], [2.3414, -3.2693, -1.0879]],
  "species": ["Os", "Os", "Be", "Mg"],
  "fractional_positions": [[0.7500, 0.7500, 0.7500], [0.2500, 0.2500, 0.2500], [0.0000, 0.0000, 0.0000], [0.5000, 0.5000, 0.5000]],
  "total_energy_ev_per_atom": -7.04,
  "rho_kg_m3": 13441,
  "vol_a3_per_atom": 12.8,
  "formation_energy_mev_per_atom": 496
}

{
  "formula": "MgBeP2",
  "functional": "PBEsol",
  "state": "relaxed",
  "lattice": [[3.4628, 0.0352, 0.0465], [-0.6353, 4.1686, -0.0237], [-0.6353, -1.1538, 4.0058]],
  "species": ["P", "Mg", "Be", "P"],
  "fractional_positions": [[0.0000, 0.0000, 0.5000], [0.5000, 0.0000, 0.0000], [0.5000, 0.5000, 0.5000], [0.0000, 0.5000, 0.0000]],
  "total_energy_ev_per_atom": -4.16,
  "rho_kg_m3": 2729,
  "vol_a3_per_atom": 14.5,
  "formation_energy_mev_per_atom": 165
}

{
  "formula": "MgBeP2",
  "functional": "PBEsol",
  "state": "relaxed",
  "lattice": [[4.0372, 0.0000, 0.0000], [-2.0186, 4.0171, -0.0062], [0.0000, 2.0341, 3.4874]],
  "species": ["Mg", "P", "Be", "P"],
  "fractional_positions": [[0.0000, 0.0000, 0.0000], [0.2500, 0.5000, 0.2500], [0.5000, 0.0000, 0.5000], [0.7500, 0.5000, 0.7500]],
  "total_energy_ev_per_atom": -4.09,
  "rho_kg_m3": 2794,
  "vol_a3_per_atom": 14.2,
  "formation_energy_mev_per_atom": 234
}

{
  "formula": "Mg2BeP",
  "functional": "PBEsol",
  "state": "relaxed",
  "lattice": [[-0.7533, 3.4322, 0.3039], [0.0297, -0.3305, 3.8069], [4.6115, 1.1761, -1.8518]],
  "species": ["Mg", "Be", "P", "Mg"],
  "fractional_positions": [[0.5000, 0.4028, 0.8056], [0.5000, 0.6853, 0.3707], [0.0000, 0.8157, 0.6313], [0.0000, 0.1014, 0.2027]],
  "total_energy_ev_per_atom": -3.56,
  "rho_kg_m3": 2305,
  "vol_a3_per_atom": 16.0,
  "formation_energy_mev_per_atom": -253
}

{
  "formula": "MgBeP3",
  "functional": "PBEsol",
  "state": "relaxed",
  "lattice": [[4.6668, 0.0000, 0.0000], [0.0000, 4.6668, 0.0000], [0.0000, 0.0000, 4.6668]],
  "species": ["Mg", "P", "P", "Be", "P"],
  "fractional_positions": [[0.0000, 0.0000, 0.0000], [0.0000, 0.0000, 0.5000], [0.5000, 0.0000, 0.0000], [0.5000, 0.5000, 0.5000], [0.0000, 0.5000, 0.0000]],
  "total_energy_ev_per_atom": -3.23,
  "rho_kg_m3": 2062,
  "vol_a3_per_atom": 20.3,
  "formation_energy_mev_per_atom": 1391
}

{
  "formula": "MgTiBeP2",
  "functional": "PBEsol",
  "state": "relaxed",
  "lattice": [[-1.5439, -2.9191, -2.5922], [3.9719, -1.1885, -1.0273], [-0.0196, -2.8303, 3.1989]],
  "species": ["P", "Be", "Ti", "Mg", "P"],
  "fractional_positions": [[0.0000, 0.0000, 0.5000], [0.0000, 0.0000, 0.0000], [0.5000, 0.0000, 0.0000], [0.5000, 0.5000, 0.5000], [0.0000, 0.5000, 0.0000]],
  "total_energy_ev_per_atom": -4.82,
  "rho_kg_m3": 3103,
  "vol_a3_per_atom": 15.3,
  "formation_energy_mev_per_atom": 302
}

{
  "formula": "MgBePb2",
  "functional": "PBEsol",
  "state": "relaxed",
  "lattice": [[5.0311, 0.0000, 0.0000], [2.5155, 4.3570, 0.0000], [2.5155, 1.4523, 4.1079]],
  "species": ["Mg", "Pb", "Pb", "Be"],
  "fractional_positions": [[0.5000, 0.5000, 0.5000], [0.7500, 0.7500, 0.7500], [0.2500, 0.2500, 0.2500], [0.0000, 0.0000, 0.0000]],
  "total_energy_ev_per_atom": -3.04,
  "rho_kg_m3": 8256,
  "vol_a3_per_atom": 22.5,
  "formation_energy_mev_per_atom": 392
}

{
  "formula": "Mg4BePb",
  "functional": "PBEsol",
  "state": "relaxed",
  "lattice": [[-0.4025, 2.9850, 4.8736], [1.9390, -2.2439, 4.9020], [4.7196, 2.1269, 2.4547]],
  "species": ["Mg", "Pb", "Mg", "Mg", "Be", "Mg"],
  "fractional_positions": [[0.3745, 0.8764, 0.3745], [0.7500, 0.7500, 0.7500], [0.3745, 0.3745, 0.3745], [0.3745, 0.3745, 0.8764], [0.0000, 0.0000, 0.0000], [0.8764, 0.3745, 0.3745]],
  "total_energy_ev_per_atom": -2.09,
  "rho_kg_m3": 3914,
  "vol_a3_per_atom": 22.2,
  "formation_energy_mev_per_atom": 386
}

{
  "formula": "MgBePb2",
  "functional": "PBEsol",
  "state": "relaxed",
  "lattice": [[-0.0191, -3.2060, 2.2740], [1.2685, -3.4334, -1.4329], [6.8538, -0.7300, 2.4254]],
  "species": ["Pb", "Pb", "Mg", "Be"],
  "fractional_positions": [[0.7686, 0.7686, 0.6941], [0.2314, 0.2314, 0.3059], [0.0000, 0.0000, 0.0000], [0.5000, 0.5000, 0.5000]],
  "total_energy_ev_per_atom": -3.11,
  "rho_kg_m3": 8000,
  "vol_a3_per_atom": 23.2,
  "formation_energy_mev_per_atom": 317
}

{
  "formula": "MgBePb2",
  "functional": "PBEsol",
  "state": "relaxed",
  "lattice": [[3.3596, 0.0000, 0.0000], [0.0000, 3.3596, 0.0000], [0.0000, 0.0000, 8.0016]],
  "species": ["Mg", "Pb", "Pb", "Be"],
  "fractional_positions": [[0.5000, 0.5000, 0.5000], [0.0000, 0.0000, 0.2151], [0.0000, 0.0000, 0.7849], [0.5000, 0.5000, 0.0000]],
  "total_energy_ev_per_atom": -3.09,
  "rho_kg_m3": 8232,
  "vol_a3_per_atom": 22.6,
  "formation_energy_mev_per_atom": 338
}

{
  "formula": "MgBePb",
  "functional": "PBEsol",
  "state": "relaxed",
  "lattice": [[3.3835, 0.0000, 0.0000], [-1.6917, 2.9302, 0.0000], [0.0000, 0.0000, 6.2245]],
  "species": ["Pb", "Be", "Mg"],
  "fractional_positions": [[0.3333, 0.6667, 0.2928], [0.0000, 0.0000, 0.0010], [0.6667, 0.3333, 0.7062]],
  "total_energy_ev_per_atom": -2.83,
  "rho_kg_m3": 6472,
  "vol_a3_per_atom": 20.6,
  "formation_energy_mev_per_atom": 406
}

{
  "formula": "MgBe2Pd2",
  "functional": "PBEsol",
  "state": "relaxed",
  "lattice": [[2.7746, 0.0000, 0.0000], [0.0000, 6.6556, 0.0000], [0.0000, 0.0000, 6.6556]],
  "species": ["Be", "Be", "Be", "Be", "Pd", "Mg", "Pd", "Pd", "Pd", "Mg"],
  "fractional_positions": [[0.0000, 0.3796, 0.8796], [0.0000, 0.1204, 0.3796], [0.0000, 0.6204, 0.1204], [0.0000, 0.8796, 0.6204], [0.5000, 0.1704, 0.6704], [0.0000, 0.0000, 0.0000], [0.5000, 0.8296, 0.3296], [0.5000, 0.3296, 0.1704], [0.5000, 0.6704, 0.8296], [0.0000, 0.5000, 0.5000]],
  "total_energy_ev_per_atom": -4.88,
  "rho_kg_m3": 6895,
  "vol_a3_per_atom": 12.3,
  "formation_energy_mev_per_atom": -551
}

{
  "formula": "Mg3BePd",
  "functional": "PBEsol",
  "state": "relaxed",
  "lattice": [[4.5766, 0.0000, 0.0000], [0.0000, 4.5766, 0.0000], [0.0000, 0.0000, 4.5766]],
  "species": ["Mg", "Mg", "Mg", "Be", "Pd"],
  "fractional_positions": [[0.0000, 0.0000, 0.5000], [0.5000, 0.0000, 0.0000], [0.0000, 0.5000, 0.0000], [0.0000, 0.0000, 0.0000], [0.5000, 0.5000, 0.5000]],
  "total_energy_ev_per_atom": -2.64,
  "rho_kg_m3": 3263,
  "vol_a3_per_atom": 19.2,
  "formation_energy_mev_per_atom": 387
}

{
  "formula": "Mg2BePt",
  "functional": "PBEsol",
  "state": "relaxed",
  "lattice": [[3.0426, 0.0000, 0.0000], [0.0000, 3.0426, 0.0000], [0.0000, 0.0000, 6.8832]],
  "species": ["Pt", "Mg", "Mg", "Be"],
  "fractional_positions": [[0.0000, 0.0000, 0.5581], [0.0000, 0.0000, 0.9567], [0.5000, 0.5000, 0.2963], [0.5000, 0.5000, 0.6888]],
  "total_energy_ev_per_atom": -3.99,
  "rho_kg_m3": 6585,
  "vol_a3_per_atom": 15.9,
  "formation_energy_mev_per_atom": -387
}

{
  "formula": "Mg2BePt2",
  "functional": "PBEsol",
  "state": "relaxed",
  "lattice": [[4.3234, 0.0000, 0.0000], [0.0000, 5.9619, 0.0000], [0.0000, 0.0000, 5.9619]],
  "species": ["Pt", "Pt", "Be", "Mg", "Mg", "Be", "Mg", "Mg", "Pt", "Pt"],
  "fractional_positions": [[0.0000, 0.8459, 0.6541], [0.0000, 0.1541, 0.3459], [0.0000, 0.5000, 0.5000], [0.5000, 0.8342, 0.3342], [0.5000, 0.3342, 0.1658], [0.0000, 0.0000, 0.0000], [0.5000, 0.6658, 0.8342], [0.5000, 0.1658, 0.6658], [0.0000, 0.6541, 0.1541], [0.0000, 0.3459, 0.8459]],
  "total_energy_ev_per_atom": -4.91,
  "rho_kg_m3": 9677,
  "vol_a3_per_atom": 15.4,
  "formation_energy_mev_per_atom": -641
}

{
  "formula": "MgBe4Pt",
  "functional": "PBEsol",
  "state": "relaxed",
  "lattice": [[-4.0409, 1.4157, -1.0274], [-2.2845, -1.9913, -3.1945], [-3.5149, -2.4533, 1.0081]],
  "species": ["Pt", "Be", "Be", "Be", "Be", "Mg"],
  "fractional_positions": [[0.0000, 0.0000, 0.0000], [0.3742, 0.8775, 0.3742], [0.3742, 0.3742, 0.8775], [0.8775, 0.3742, 0.3742], [0.3742, 0.3742, 0.3742], [0.7500, 0.7500, 0.7500]],
  "total_energy_ev_per_atom": -4.58,
  "rho_kg_m3": 7026,
  "vol_a3_per_atom": 10.1,
  "formation_energy_mev_per_atom": -466
}

{
  "formula": "Mg4BeRe",
  "functional": "PBEsol",
  "state": "relaxed",
  "lattice": [[-2.5807, 4.5081, -0.9029], [-4.8965, 0.6494, 1.8441], [-0.9009, 3.3608, 3.9613]],
  "species": ["Mg", "Mg", "Be", "Mg", "Mg", "Re"],
  "fractional_positions": [[0.8720, 0.3760, 0.3760], [0.3760, 0.8720, 0.3760], [0.0000, 0.0000, 0.0000], [0.3760, 0.3760, 0.3760], [0.3760, 0.3760, 0.8720], [0.7500, 0.7500, 0.7500]],
  "total_energy_ev_per_atom": -3.12,
  "rho_kg_m3": 4686,
  "vol_a3_per_atom": 17.3,
  "formation_energy_mev_per_atom": 916
}